Entry 1:
The following is a DFT calculation (GGA-PBE) of a geometry-optimized Zr2CrTc structure.

```
Zr2CrTc
1.0
5.0307 -1.6253 -2.9551
-1.4285 5.0901 2.9551
-3.5544 0.0905 4.9031
Zr Tc Cr
2 1 1
Direct
0.0000 0.7461 0.7461
0.0000 0.2539 0.2539
0.0000 0.5000 0.5000
0.0000 0.0000 0.0000
```

The formation energy is 70.89 kJ per mole of atoms. Its crystal system is orthorhombic. The electronic total energy is -8.5367 eV/atom. As for the magnetic moment: 0.800 μB per atom.

Entry 2:
The following is a DFT calculation (GGA-PBE) of a geometry-optimized ZrCr2Tc2 structure.

```
ZrCr2Tc2
1.0
7.3080 0.0000 0.0000
0.0000 7.3080 0.0000
0.0000 0.0000 2.8131
Tc Cr Zr
4 4 2
Direct
0.3483 0.1517 0.5000
0.8483 0.3483 0.5000
0.6517 0.8483 0.5000
0.1517 0.6517 0.5000
0.8564 0.6436 0.0000
0.1436 0.3564 0.0000
0.3564 0.8564 0.0000
0.6436 0.1436 0.0000
0.5000 0.5000 0.0000
0.0000 0.0000 0.0000
```

The calculation puts the polymorph energy (0 for the lowest one) at 0 meV/atom. The formation energy is 13.32 kJ per mole of atoms. Its crystal system is tetragonal. The electronic total energy is -9.5673 eV/atom. As for the magnetic moment: 0.000 μB per atom.

Q: Look up the magnetic moment of the second one.
A: 0.000 μB per atom